# GGA-PBE SbRhCI2, relaxed
data_SbRhCI2
_chemical_formula_sum 'Sb1 Rh1 C1 I2'
_cell_length_a 4.949
_cell_length_b 4.949
_cell_length_c 4.633
_cell_angle_alpha 90.00
_cell_angle_beta 90.00
_cell_angle_gamma 90.00
_symmetry_space_group_name_H-M 'P 4/m m m'
_symmetry_Int_Tables_number 123
_symmetry_space_group_name_Hall '-P 4 2'
loop_
_atom_site_label
_atom_site_type_symbol
_atom_site_fract_x
_atom_site_fract_y
_atom_site_fract_z
Sb1 Sb 0.000 0.000 0.000
Rh1 Rh 0.500 0.500 0.000
C1 C 0.000 0.000 0.500
I1 I 0.000 0.500 0.500
# excess energy over the best structure of this formula in the dataset = 0.0 meV/atom
# E_form (uncorrected) = 1.47 eV per atom
# raw total energy = -3.29 eV per atom